No. 1
A plane-wave DFT calculation with GGA-PBE was carried out for crystalline Nd2Pd2Rh at its relaxed geometry.

Structure (CIF):
```
data_Nd2Pd2Rh
_chemical_formula_sum 'Nd4 Pd4 Rh2'
_cell_length_a 3.8300
_cell_length_b 4.0110
_cell_length_c 14.5797
_cell_angle_alpha 90.00
_cell_angle_beta 90.00
_cell_angle_gamma 90.00
_symmetry_space_group_name_H-M 'A m m 2'
_symmetry_Int_Tables_number 38
loop_
_symmetry_equiv_pos_as_xyz
'x,y,z'
'-x,-y,z'
'-x,y,z'
'x,-y,z'
'x,y+1/2,z+1/2'
'-x,-y+1/2,z+1/2'
'-x,y+1/2,z+1/2'
'x,-y+1/2,z+1/2'
loop_
_atom_site_label
_atom_site_type_symbol
_atom_site_fract_x
_atom_site_fract_y
_atom_site_fract_z
_atom_site_occupancy
Nd1 Nd 0.0000 0.0000 0.0000 1
Nd2 Nd 0.0000 0.0000 0.2501 1
Pd1 Pd 0.5000 0.0000 0.6321 1
Pd2 Pd 0.5000 0.0000 0.8230 1
Rh1 Rh 0.5000 0.0000 0.4442 1
```

The value obtained for the calculated formation energy is -0.69 eV/atom. The total moment comes out at 0.00 μB/cell.

No. 2
A plane-wave DFT calculation with GGA-PBE was carried out for crystalline GaBi2O4F at its relaxed geometry.

Structure (CIF):
```
data_GaBi2O4F
_chemical_formula_sum 'Ga2 Bi4 O8 F2'
_cell_length_a 10.2518
_cell_length_b 3.3549
_cell_length_c 6.9748
_cell_angle_alpha 90.00
_cell_angle_beta 115.72
_cell_angle_gamma 90.00
_symmetry_space_group_name_H-M 'C 1 2/m 1'
_symmetry_Int_Tables_number 12
loop_
_symmetry_equiv_pos_as_xyz
'x,y,z'
'-x,-y,-z'
'-x,y,-z'
'x,-y,z'
'x+1/2,y+1/2,z'
'-x+1/2,-y+1/2,-z'
'-x+1/2,y+1/2,-z'
'x+1/2,-y+1/2,z'
loop_
_atom_site_label
_atom_site_type_symbol
_atom_site_fract_x
_atom_site_fract_y
_atom_site_fract_z
_atom_site_occupancy
Ga1 Ga 0.0000 0.0000 0.0000 1
Bi1 Bi 0.1962 0.0000 0.7171 1
O1 O 0.1156 0.5000 0.9526 1
O2 O 0.1573 0.0000 0.2927 1
F1 F 0.0000 0.5000 0.5000 1
```

For the energy relative to the elements, uncorrected, the calculation gives -149.0 kJ/mol of atoms. The total moment comes out at 0.00 μB/cell.

No. 3
A plane-wave DFT calculation with GGA-PBE was carried out for crystalline BaLiOs2 at its relaxed geometry.

Structure (CIF):
```
data_BaLiOs2
_chemical_formula_sum 'Ba1 Li1 Os2'
_cell_length_a 2.8249
_cell_length_b 4.4854
_cell_length_c 6.6760
_cell_angle_alpha 90.00
_cell_angle_beta 90.00
_cell_angle_gamma 90.00
_symmetry_space_group_name_H-M 'P m m m'
_symmetry_Int_Tables_number 47
loop_
_symmetry_equiv_pos_as_xyz
'x,y,z'
'-x,-y,-z'
'-x,-y,z'
'x,y,-z'
'x,-y,-z'
'-x,y,z'
'-x,y,-z'
'x,-y,z'
loop_
_atom_site_label
_atom_site_type_symbol
_atom_site_fract_x
_atom_site_fract_y
_atom_site_fract_z
_atom_site_occupancy
Ba1 Ba 0.0000 0.0000 0.0000 1
Li1 Li 0.0000 0.0000 0.5000 1
Os1 Os 0.5000 0.5000 0.3279 1
```

The value obtained for the calculated formation energy is 0.88 eV/atom. The value obtained for the energy above the lowest structure with this stoichiometry is 62.56 kJ per mole of atoms. The total moment comes out at 0.00 μB/cell.

No. 4
A plane-wave DFT calculation with GGA-PBE was carried out for crystalline K2ThS2Br2 at its relaxed geometry.

Structure (CIF):
```
data_K2ThS2Br2
_chemical_formula_sum 'K4 Th2 S4 Br4'
_cell_length_a 5.4580
_cell_length_b 5.4580
_cell_length_c 16.7864
_cell_angle_alpha 90.00
_cell_angle_beta 90.00
_cell_angle_gamma 90.00
_symmetry_space_group_name_H-M 'I 4/m m m'
_symmetry_Int_Tables_number 139
_symmetry_space_group_name_Hall '-I 4 2'
loop_
_atom_site_label
_atom_site_type_symbol
_atom_site_fract_x
_atom_site_fract_y
_atom_site_fract_z
_atom_site_occupancy
K1 K 0.0000 0.0000 0.1257 1
Th1 Th 0.0000 0.0000 0.5000 1
S1 S 0.0000 0.5000 0.0000 1
Br1 Br 0.0000 0.0000 0.3254 1
```

For the energy relative to the elements, uncorrected, the calculation gives -169.6 kJ/mol of atoms. The total moment comes out at 0.00 μB/cell.

No. 5
A plane-wave DFT calculation with GGA-PBE was carried out for crystalline MgSiSb2 at its relaxed geometry.

Structure (CIF):
```
data_MgSiSb2
_chemical_formula_sum 'Mg1 Si1 Sb2'
_cell_length_a 5.1050
_cell_length_b 3.8471
_cell_length_c 5.5032
_cell_angle_alpha 90.00
_cell_angle_beta 111.66
_cell_angle_gamma 90.00
_symmetry_space_group_name_H-M 'P 1 2/m 1'
_symmetry_Int_Tables_number 10
loop_
_symmetry_equiv_pos_as_xyz
'x,y,z'
'-x,-y,-z'
'-x,y,-z'
'x,-y,z'
loop_
_atom_site_label
_atom_site_type_symbol
_atom_site_fract_x
_atom_site_fract_y
_atom_site_fract_z
_atom_site_occupancy
Mg1 Mg 0.0000 0.0000 0.0000 1
Si1 Si 0.5000 0.0000 0.5000 1
Sb1 Sb 0.2843 0.5000 0.7308 1
```

For the energy relative to the elements, uncorrected, the calculation gives 15.3 kJ/mol of atoms. The total moment comes out at 0.00 μB/cell.

No. 6
A plane-wave DFT calculation with GGA-PBE was carried out for crystalline TiPtS4 at its relaxed geometry.

Structure (CIF):
```
data_TiPtS4
_chemical_formula_sum 'Ti1 Pt1 S4'
_cell_length_a 5.8457
_cell_length_b 3.5080
_cell_length_c 6.3315
_cell_angle_alpha 90.00
_cell_angle_beta 90.50
_cell_angle_gamma 90.00
_symmetry_space_group_name_H-M 'P 1 2/m 1'
_symmetry_Int_Tables_number 10
loop_
_symmetry_equiv_pos_as_xyz
'x,y,z'
'-x,-y,-z'
'-x,y,-z'
'x,-y,z'
loop_
_atom_site_label
_atom_site_type_symbol
_atom_site_fract_x
_atom_site_fract_y
_atom_site_fract_z
_atom_site_occupancy
Ti1 Ti 0.0000 0.0000 0.0000 1
Pt1 Pt 0.5000 0.5000 0.0000 1
S1 S 0.1652 0.5000 0.2247 1
S2 S 0.3426 0.0000 0.7822 1
```

For the energy relative to the elements, uncorrected, the calculation gives -71.1 kJ/mol of atoms. The total moment comes out at 0.00 μB/cell.

No. 7
A plane-wave DFT calculation with GGA-PBE was carried out for crystalline Cs2NpHgO6 at its relaxed geometry.

Structure (CIF):
```
data_Cs2NpHgO6
_chemical_formula_sum 'Cs4 Np2 Hg2 O12'
_cell_length_a 6.0309
_cell_length_b 6.0309
_cell_length_c 10.5175
_cell_angle_alpha 90.00
_cell_angle_beta 90.00
_cell_angle_gamma 90.00
_symmetry_space_group_name_H-M 'I 4/m m m'
_symmetry_Int_Tables_number 139
_symmetry_space_group_name_Hall '-I 4 2'
loop_
_atom_site_label
_atom_site_type_symbol
_atom_site_fract_x
_atom_site_fract_y
_atom_site_fract_z
_atom_site_occupancy
Cs1 Cs 0.0000 0.5000 0.2500 1
Np1 Np 0.0000 0.0000 0.0000 1
Hg1 Hg 0.0000 0.0000 0.5000 1
O1 O 0.0000 0.0000 0.1810 1
O2 O 0.2428 0.2428 0.0000 1
```

For the energy relative to the elements, uncorrected, the calculation gives -166.1 kJ/mol of atoms. The total moment comes out at 0.00 μB/cell.

No. 8
A plane-wave DFT calculation with GGA-PBE was carried out for crystalline Nd4SmBi5 at its relaxed geometry.

Structure (CIF):
```
data_Nd4SmBi5
_chemical_formula_sum 'Nd8 Sm2 Bi10'
_cell_length_a 4.6003
_cell_length_b 4.6003
_cell_length_c 32.5046
_cell_angle_alpha 90.00
_cell_angle_beta 90.00
_cell_angle_gamma 90.00
_symmetry_space_group_name_H-M 'I 4/m m m'
_symmetry_Int_Tables_number 139
_symmetry_space_group_name_Hall '-I 4 2'
loop_
_atom_site_label
_atom_site_type_symbol
_atom_site_fract_x
_atom_site_fract_y
_atom_site_fract_z
_atom_site_occupancy
Nd1 Nd 0.0000 0.0000 0.0998 1
Nd2 Nd 0.0000 0.0000 0.3002 1
Sm1 Sm 0.0000 0.0000 0.5000 1
Bi1 Bi 0.0000 0.0000 0.0000 1
Bi2 Bi 0.0000 0.0000 0.2000 1
Bi3 Bi 0.0000 0.0000 0.4006 1
```

The value obtained for the calculated formation energy is -0.95 eV/atom. The total moment comes out at 0.00 μB/cell.